# 1
An optimized crystal structure of CePu4S5. Source: the Alexandria database, functional PBE.

DFT total energy   -204.127 eV/cell
Fermi-level density of states   72.0 states/eV per cell
Total magnetization   23.43 μB/f.u.

Unit cell a=3.978 b=5.623 c=19.888 alpha=90.00 beta=90.00 gamma=90.00
Space group Immm (No. 71)
Asymmetric unit:
1 Ce 0.000 0.000 0.000
2 Pu 0.000 0.000 0.200
3 Pu 0.000 0.000 0.400
4 S 0.000 0.500 0.000
5 S 0.000 0.500 0.200
6 S 0.000 0.500 0.397



# 2
An optimized crystal structure of CdTeAu2. Source: the Alexandria database, functional PBE.

DFT total energy   -10.520 eV/cell
Fermi-level density of states   0.9 states/eV per cell
Total magnetization   0.00 μB/f.u.

Unit cell a=3.851 b=3.851 c=5.890 alpha=90.00 beta=90.00 gamma=90.00
Space group P4/mmm (No. 123)
Asymmetric unit:
1 Cd 0.000 0.000 0.000
2 Te 0.000 0.000 0.500
3 Au 0.500 0.500 0.239



# 3
An optimized crystal structure of Y2TlSb. Source: the Alexandria database, functional PBE.

DFT total energy   -78.700 eV/cell
Fermi-level density of states   18.7 states/eV per cell
Total magnetization   0.00 μB/f.u.

Unit cell a=7.694 b=7.694 c=7.694 alpha=90.00 beta=90.00 gamma=90.00
Space group F-43m (No. 216)
Asymmetric unit:
1 Y 0.000 0.000 0.000
2 Y 0.250 0.250 0.250
3 Tl 0.250 0.250 0.750
4 Sb 0.000 0.000 0.500



# 4
An optimized crystal structure of Ca3AcPt2. Source: the Alexandria database, functional PBE.

Energy of formation   -0.791 eV per atom
DFT total energy   -53.883 eV/cell
Fermi-level density of states   7.7 states/eV per cell
Total magnetization   0.00 μB/f.u.

Unit cell a=4.585 b=9.421 c=7.787 alpha=90.00 beta=90.00 gamma=90.00
Space group Pmc2_1 (No. 26)
Asymmetric unit:
1 Ca 0.000 0.084 0.000
2 Ca 0.000 0.302 0.384
3 Ca 0.500 0.171 0.668
4 Ac 0.500 0.421 0.047
5 Pt 0.000 0.378 0.765
6 Pt 0.500 0.138 0.264